This record from the Alexandria database describes a relaxed Sc11Pd4Au9 crystal. The functional is PBE.

Cell lengths 13.5572, 20.1832, 3.3616 Å; angles 90.00, 90.00, 90.00 degrees
With the nearest neighbours (Å) after each atom.
Space group Cmmm (No. 65)
Inequivalent atoms, fractional coordinates:
1 Sc 0.0000 0.0000 0.0000 [2 per cell]  8 Au 2.89
2 Sc 0.0000 0.1722 0.0000 [4 per cell]  8 Au 2.91-3.01, 2 Sc 3.25
3 Sc 0.0000 0.3652 0.0000 [4 per cell]  4 Pd 2.81, 4 Au 3.05
4 Sc 0.2336 0.5000 0.0000 [4 per cell]  4 Pd 2.75, 4 Au 3.03
5 Sc 0.2398 0.1725 0.0000 [8 per cell]  2 Pd 2.72, 6 Au 2.93-3.04
6 Pd 0.1544 0.4061 0.5000 [8 per cell]  6 Sc 2.72-2.81, 3 Au 2.82-3.01
7 Au 0.0000 0.5000 0.5000 [2 per cell]  4 Pd 2.82
8 Au 0.1112 0.2633 0.5000 [8 per cell]  8 Sc 2.91-3.05, 1 Pd 2.94, 1 Au 3.01
9 Au 0.1246 0.0810 0.5000 [8 per cell]  8 Sc 2.89-3.03, 1 Pd 3.01

Computed properties:
Total energy ... -5.8115 eV per atom
Calculated formation energy ... -0.82 eV per atom
Density ... 9.7 Mg/m³